(1)
A geometry-optimized Pd2I3 structure, computed with PBE-GGA.

abc: 7.1332 7.1332 19.1810
angles: 90.00 90.00 120.00
Space group R-3c (No. 167, hexagonal axes)
One atom of each set of equivalent atoms:
Pd 0.0000 0.0000 0.1627 (multiplicity 12)
I 0.0000 0.3249 0.2500 (multiplicity 18)

Summary:
Total DFT energy (no corrections) = -93.05 eV per cell
Density of states at the Fermi level = 23.27 states/eV/cell
Total moment = 0.00 μB per formula unit
Uncorrected formation energy = -0.5 eV per formula unit

(2)
A geometry-optimized Ge2NF structure, computed with PBE-GGA.

abc: 5.9331 5.9331 5.9331
angles: 90.00 90.00 90.00
Space group Fm-3m (No. 225)
One atom of each set of equivalent atoms:
Ge 0.2500 0.2500 0.2500 (multiplicity 8)
N 0.0000 0.0000 0.0000 (multiplicity 4)
F 0.0000 0.0000 0.5000 (multiplicity 4)

Summary:
Total DFT energy (no corrections) = -75.40 eV per cell
Density of states at the Fermi level = 2.15 states/eV/cell
Total moment = 0.00 μB per formula unit
Uncorrected formation energy = 0.6 eV per formula unit

Please write out number 1 again, unchanged.
A geometry-optimized Pd2I3 structure, computed with PBE-GGA.

abc: 7.1332 7.1332 19.1810
angles: 90.00 90.00 120.00
Space group R-3c (No. 167, hexagonal axes)
One atom of each set of equivalent atoms:
Pd 0.0000 0.0000 0.1627 (multiplicity 12)
I 0.0000 0.3249 0.2500 (multiplicity 18)

Summary:
Total DFT energy (no corrections) = -93.05 eV per cell
Density of states at the Fermi level = 23.27 states/eV/cell
Total moment = 0.00 μB per formula unit
Uncorrected formation energy = -0.5 eV per formula unit

Among the records above, which one has the lowest uncorrected formation energy?
Pd2I3

Repeat the first record exactly.
A geometry-optimized Pd2I3 structure, computed with PBE-GGA.

abc: 7.1332 7.1332 19.1810
angles: 90.00 90.00 120.00
Space group R-3c (No. 167, hexagonal axes)
One atom of each set of equivalent atoms:
Pd 0.0000 0.0000 0.1627 (multiplicity 12)
I 0.0000 0.3249 0.2500 (multiplicity 18)

Summary:
Total DFT energy (no corrections) = -93.05 eV per cell
Density of states at the Fermi level = 23.27 states/eV/cell
Total moment = 0.00 μB per formula unit
Uncorrected formation energy = -0.5 eV per formula unit

Which value of total moment does entry 1 give?
0.00 μB per formula unit